The following is a GGA-PBE calculation of crystalline PrSnRu at its relaxed geometry, from Alexandria.

Output
DOS at the Fermi energy	4.0	states/eV/cell
SG	I4/mmm
energy	-78.6	eV for the cell shown
energy of formation from the pure elements	-0.53	eV per atom
V	297.30	Å³ per cell

Cell: 4.558 4.558 14.309 Å, 90.00 90.00 90.00°
Positions (direct):
Pr 0.000 0.000 0.140
Pr 0.000 0.000 0.860
Pr 0.500 0.500 0.360
Pr 0.500 0.500 0.640
Sn 0.000 0.000 0.388
Sn 0.000 0.000 0.612
Sn 0.500 0.500 0.112
Sn 0.500 0.500 0.888
Ru 0.000 0.500 0.000
Ru 0.000 0.500 0.500
Ru 0.500 0.000 0.000
Ru 0.500 0.000 0.500